This record from the Alexandria database describes a geometry-optimized Cs2U2MnTe6 structure. The functional is PBE.

abc: 7.573 7.573 9.534
angles: 97.79 97.79 119.83
Atoms (fractional coordinates):
Cs 0.168 0.832 0.000
Cs 0.832 0.168 0.000
U 0.332 0.668 0.500
U 0.668 0.332 0.500
Mn 0.000 0.000 0.500
Te 0.065 0.389 0.684
Te 0.265 0.265 0.317
Te 0.389 0.065 0.684
Te 0.611 0.935 0.316
Te 0.735 0.735 0.683
Te 0.935 0.611 0.316

Results
uncorrected formation energy = -693.7 meV/atom